CsTmNiF6 (PBE with a Hubbard U, optimized geometry); total DFT energy (no corrections) = -5.34 eV/atom; space-group type = Imma, No. 74
1.0
-3.813 3.992 5.429
3.813 -3.992 5.429
3.813 3.992 -5.429
Cs Tm Ni F
2 2 2 12
Direct
0.334 0.084 0.250
0.666 0.916 0.750
0.000 0.500 0.500
0.500 0.500 0.000
0.000 0.000 0.500
0.000 0.500 0.000
0.053 0.413 0.225
0.053 0.803 0.250
0.053 0.829 0.640
0.311 0.171 0.725
0.311 0.587 0.140
0.330 0.580 0.750
0.670 0.420 0.250
0.689 0.413 0.860
0.689 0.829 0.275
0.947 0.171 0.360
0.947 0.197 0.750
0.947 0.587 0.775